{
  "formula": "CaTaSb",
  "functional": "PBE",
  "state": "optimized geometry",
  "lattice": [[-4.107, -3.309, 3.088], [-2.181, -5.600, -1.115], [5.037, 3.434, 0.437]],
  "species": ["Ca", "Sb", "Ta"],
  "fractional_positions": [[0.998, 0.998, 0.000], [0.696, 0.696, 0.000], [0.305, 0.305, 0.000]],
  "e_tot_ev_per_atom": -5.928,
  "dos_ef_per_ev_atom": 0.804,
  "rho_g_cm3": 7.7
}